Here is an optimized crystal structure of Sc4Co2Sb from Alexandria via LeMat-Bulk. Energies are from PBE.

```
Sc4Co2Sb
1.0
2.362 -4.094 0.000
2.362 4.094 0.000
0.000 0.000 13.684
Sc Co Sb
8 4 2
Cartesian
0.000 0.000 0.000 Sc
0.000 0.000 6.842 Sc
2.362 1.367 8.460 Sc
2.362 1.367 12.065 Sc
2.362 1.361 3.421 Sc
2.362 -1.361 10.263 Sc
2.362 -1.367 1.619 Sc
2.362 -1.367 5.223 Sc
2.362 1.363 0.792 Co
2.362 1.363 6.050 Co
2.362 -1.363 7.634 Co
2.362 -1.363 12.892 Co
2.362 4.089 3.421 Sb
2.362 -4.089 10.263 Sb
```

The value obtained for the spin magnetization is 0.00 μB per formula unit. As for the density of states at the Fermi level: 10.49 states/eV/cell. For the formation energy (no corrections), the calculation gives -373.5 meV/atom.